Computed, not measured: a relaxed structure of NbTlP3 at the PBE level of DFT.

Structure (CIF):
```
data_NbTlP3
_chemical_formula_sum 'Nb1 Tl1 P3'
_space_group_name_H-M_alt 'P m -3 m'
_space_group_IT_number 221
_space_group_name_Hall '-P 4 2 3'
_cell_length_a 4.918
_cell_length_b 4.918
_cell_length_c 4.918
_cell_angle_alpha 90.00
_cell_angle_beta 90.00
_cell_angle_gamma 90.00
loop_
_atom_site_label
_atom_site_fract_x
_atom_site_fract_y
_atom_site_fract_z
Nb1 0.000 0.000 0.000
Tl1 0.500 0.500 0.500
P1 0.000 0.500 0.500
```

DFT formation energy	1.7941	eV per atom
total DFT energy (no corrections)	-3.939	eV per atom
magnetization	0.00	μB/cell

Computed, not measured: a relaxed structure of Nb3TlP at the PBE level of DFT.

Structure (CIF):
```
data_Nb3TlP
_chemical_formula_sum 'Nb3 Tl1 P1'
_space_group_name_H-M_alt 'P m -3 m'
_space_group_IT_number 221
_space_group_name_Hall '-P 4 2 3'
_cell_length_a 4.673
_cell_length_b 4.673
_cell_length_c 4.673
_cell_angle_alpha 90.00
_cell_angle_beta 90.00
_cell_angle_gamma 90.00
loop_
_atom_site_label
_atom_site_fract_x
_atom_site_fract_y
_atom_site_fract_z
Nb1 0.000 0.000 0.500
Tl1 0.500 0.500 0.500
P1 0.000 0.000 0.000
```

DFT formation energy	0.2286	eV per atom
total DFT energy (no corrections)	-7.369	eV per atom
magnetization	0.00	μB/cell

Computed, not measured: a relaxed structure of Nb2TlP at the PBE level of DFT.

Structure (CIF):
```
data_Nb2TlP
_chemical_formula_sum 'Nb8 Tl4 P4'
_space_group_name_H-M_alt 'I -4 2 d'
_space_group_IT_number 122
_space_group_name_Hall 'I -4 2bw'
_cell_length_a 4.445
_cell_length_b 4.445
_cell_length_c 18.153
_cell_angle_alpha 90.00
_cell_angle_beta 90.00
_cell_angle_gamma 90.00
loop_
_atom_site_label
_atom_site_fract_x
_atom_site_fract_y
_atom_site_fract_z
Nb1 0.137 0.250 0.125
Tl1 0.000 0.000 0.500
P1 0.000 0.000 0.000
```

DFT formation energy	0.5351	eV per atom
total DFT energy (no corrections)	-6.444	eV per atom
magnetization	0.00	μB/cell

Computed, not measured: a relaxed structure of Nb2TlP2 at the PBE level of DFT.

Structure (CIF):
```
data_Nb2TlP2
_chemical_formula_sum 'Nb4 Tl2 P4'
_space_group_name_H-M_alt 'P 4/m b m'
_space_group_IT_number 127
_space_group_name_Hall '-P 4 2ab'
_cell_length_a 7.396
_cell_length_b 7.396
_cell_length_c 3.222
_cell_angle_alpha 90.00
_cell_angle_beta 90.00
_cell_angle_gamma 90.00
loop_
_atom_site_label
_atom_site_fract_x
_atom_site_fract_y
_atom_site_fract_z
Nb1 0.143 0.357 0.000
Tl1 0.000 0.000 0.000
P1 0.139 0.639 0.500
```

DFT formation energy	-0.3354	eV per atom
total DFT energy (no corrections)	-7.000	eV per atom
magnetization	0.00	μB/cell

Computed, not measured: a relaxed structure of ZrNbTlP2 at the PBE level of DFT.

Structure (CIF):
```
data_ZrNbTlP2
_chemical_formula_sum 'Zr1 Nb1 Tl1 P2'
_space_group_name_H-M_alt 'P 4/m m m'
_space_group_IT_number 123
_space_group_name_Hall '-P 4 2'
_cell_length_a 4.899
_cell_length_b 4.899
_cell_length_c 5.445
_cell_angle_alpha 90.00
_cell_angle_beta 90.00
_cell_angle_gamma 90.00
loop_
_atom_site_label
_atom_site_fract_x
_atom_site_fract_y
_atom_site_fract_z
Zr1 0.000 0.000 0.000
Nb1 0.500 0.500 0.500
Tl1 0.000 0.000 0.500
P1 0.000 0.500 0.000
```

DFT formation energy	1.0313	eV per atom
total DFT energy (no corrections)	-5.329	eV per atom
magnetization	0.02	μB/cell

Computed, not measured: a relaxed structure of UNb2P at the PBE level of DFT.

Structure (CIF):
```
data_UNb2P
_chemical_formula_sum 'U3 Nb6 P3'
_space_group_name_H-M_alt 'R -3 m'
_space_group_IT_number 166
_space_group_name_Hall '-R 3 2"'
_cell_length_a 3.1122
_cell_length_b 3.1122
_cell_length_c 27.1688
_cell_angle_alpha 90.00
_cell_angle_beta 90.00
_cell_angle_gamma 120.00
loop_
_atom_site_label
_atom_site_fract_x
_atom_site_fract_y
_atom_site_fract_z
U1 0.0000 0.0000 0.0000
Nb1 0.0000 0.0000 0.1013
P1 0.0000 0.0000 0.5000
```

DFT formation energy	0.1663	eV per atom
total DFT energy (no corrections)	-9.043	eV per atom
magnetization	4.99	μB/cell

Computed, not measured: a relaxed structure of U3NbP4 at the PBE level of DFT.

Structure (CIF):
```
data_U3NbP4
_chemical_formula_sum 'U6 Nb2 P8'
_space_group_name_H-M_alt 'P 1 2/c 1'
_space_group_IT_number 13
_space_group_name_Hall '-P 2yc'
_cell_length_a 6.592
_cell_length_b 7.671
_cell_length_c 6.707
_cell_angle_alpha 90.00
_cell_angle_beta 109.67
_cell_angle_gamma 90.00
loop_
_atom_site_label
_atom_site_fract_x
_atom_site_fract_y
_atom_site_fract_z
U1 0.000 0.123 0.250
U2 0.000 0.371 0.750
U3 0.500 0.370 0.250
Nb1 0.500 0.130 0.750
P1 0.258 0.369 0.508
P2 0.266 0.115 0.002
```

DFT formation energy	-0.9375	eV per atom
total DFT energy (no corrections)	-9.134	eV per atom
magnetization	11.69	μB/cell

Computed, not measured: a relaxed structure of UNbP at the PBE level of DFT.

Structure (CIF):
```
data_UNbP
_chemical_formula_sum 'U2 Nb2 P2'
_space_group_name_H-M_alt 'I 4 m m'
_space_group_IT_number 107
_space_group_name_Hall 'I 4 -2'
_cell_length_a 3.309
_cell_length_b 3.309
_cell_length_c 10.250
_cell_angle_alpha 90.00
_cell_angle_beta 90.00
_cell_angle_gamma 90.00
loop_
_atom_site_label
_atom_site_fract_x
_atom_site_fract_y
_atom_site_fract_z
U1 0.000 0.000 0.000
Nb1 0.000 0.000 0.706
P1 0.000 0.000 0.312
```

DFT formation energy	-0.3540	eV per atom
total DFT energy (no corrections)	-9.277	eV per atom
magnetization	3.79	μB/cell

Computed, not measured: a relaxed structure of UNbP at the PBE level of DFT.

Structure (CIF):
```
data_UNbP
_chemical_formula_sum 'U1 Nb1 P1'
_space_group_name_H-M_alt 'P -6 m 2'
_space_group_IT_number 187
_space_group_name_Hall 'P -6 2'
_cell_length_a 4.3414
_cell_length_b 4.3414
_cell_length_c 3.5566
_cell_angle_alpha 90.00
_cell_angle_beta 90.00
_cell_angle_gamma 120.00
loop_
_atom_site_label
_atom_site_fract_x
_atom_site_fract_y
_atom_site_fract_z
U1 0.0000 0.0000 0.0000
Nb1 0.6667 0.3333 0.5000
P1 0.3333 0.6667 0.5000
```

DFT formation energy	-0.2789	eV per atom
total DFT energy (no corrections)	-9.201	eV per atom
magnetization	2.09	μB/cell

Computed, not measured: a relaxed structure of NbVP at the PBE level of DFT.

Structure (CIF):
```
data_NbVP
_chemical_formula_sum 'Nb2 V2 P2'
_space_group_name_H-M_alt 'P 1'
_space_group_IT_number 1
_space_group_name_Hall 'P 1'
_cell_length_a 3.240
_cell_length_b 4.806
_cell_length_c 6.585
_cell_angle_alpha 110.24
_cell_angle_beta 90.08
_cell_angle_gamma 108.43
loop_
_atom_site_label
_atom_site_fract_x
_atom_site_fract_y
_atom_site_fract_z
Nb1 0.000 0.000 0.000
Nb2 0.143 0.340 0.615
V1 0.465 0.872 0.628
V2 0.802 0.596 0.318
P1 0.497 0.007 0.303
P2 0.683 0.398 0.934
```

DFT formation energy	-0.5621	eV per atom
total DFT energy (no corrections)	-8.761	eV per atom
magnetization	0.00	μB/cell

Computed, not measured: a relaxed structure of Nb3VP at the PBE level of DFT.

Structure (CIF):
```
data_Nb3VP
_chemical_formula_sum 'Nb3 V1 P1'
_space_group_name_H-M_alt 'P m -3 m'
_space_group_IT_number 221
_space_group_name_Hall '-P 4 2 3'
_cell_length_a 4.624
_cell_length_b 4.624
_cell_length_c 4.624
_cell_angle_alpha 90.00
_cell_angle_beta 90.00
_cell_angle_gamma 90.00
loop_
_atom_site_label
_atom_site_fract_x
_atom_site_fract_y
_atom_site_fract_z
Nb1 0.000 0.000 0.500
V1 0.000 0.000 0.000
P1 0.500 0.500 0.500
```

DFT formation energy	1.0607	eV per atom
total DFT energy (no corrections)	-7.887	eV per atom
magnetization	0.00	μB/cell

Computed, not measured: a relaxed structure of NbVP at the PBE level of DFT.

Structure (CIF):
```
data_NbVP
_chemical_formula_sum 'Nb4 V4 P4'
_space_group_name_H-M_alt 'I m m a'
_space_group_IT_number 74
_space_group_name_Hall '-I 2b 2'
_cell_length_a 4.800
_cell_length_b 5.217
_cell_length_c 6.739
_cell_angle_alpha 90.00
_cell_angle_beta 90.00
_cell_angle_gamma 90.00
loop_
_atom_site_label
_atom_site_fract_x
_atom_site_fract_y
_atom_site_fract_z
Nb1 0.000 0.250 0.125
V1 0.250 0.250 0.750
P1 0.000 0.000 0.500
```

DFT formation energy	-0.4892	eV per atom
total DFT energy (no corrections)	-8.689	eV per atom
magnetization	0.00	μB/cell